A relaxed structure of TiPd5Pt4, computed with PBE.

a = 13.799 Å, b = 3.999 Å, c = 6.967 Å
α = 90.00°, β = 119.70°, γ = 90.00°
Space group C2/m (No. 12)
Symmetry-distinct sites (fractional):
Ti 0.000 0.000 0.000
Pd 0.000 0.000 0.500
Pd 0.163 0.500 0.708
Pd 0.176 0.500 0.113
Pt 0.022 0.500 0.257
Pt 0.176 0.000 0.413

Calculated values
Energy relative to the elements in eV per atom: -0.153
V in Å³ per cell: 334.0

---

A relaxed structure of ErMg4Ag5, computed with PBE.

a = 3.413 Å, b = 3.413 Å, c = 16.793 Å
α = 90.00°, β = 90.00°, γ = 90.00°
Space group P4/mmm (No. 123)
Symmetry-distinct sites (fractional):
Er 0.000 0.000 0.000
Mg 0.000 0.000 0.211
Mg 0.000 0.000 0.404
Ag 0.500 0.500 0.116
Ag 0.500 0.500 0.308
Ag 0.500 0.500 0.500

Calculated values
Energy relative to the elements in eV per atom: -0.250
V in Å³ per cell: 195.6

---

A relaxed structure of PmDyY2N4, computed with PBE.

a = 6.083 Å, b = 3.513 Å, c = 6.084 Å
α = 90.00°, β = 109.44°, γ = 90.00°
Space group P2/m (No. 10)
Symmetry-distinct sites (fractional):
Pm 0.000 0.000 0.000
Dy 0.000 0.500 0.500
Y 0.500 0.000 0.500
Y 0.500 0.500 0.000
N 0.252 0.000 0.747
N 0.255 0.500 0.256

Calculated values
Calculated total energy in eV per atom: -8.57
V in Å³ per cell: 122.6

---

A relaxed structure of CuSb2Pt, computed with PBE.

a = 3.359 Å, b = 3.359 Å, c = 7.487 Å
α = 90.00°, β = 90.00°, γ = 90.00°
Space group P4mm (No. 99)
Symmetry-distinct sites (fractional):
Cu 0.000 0.000 0.000
Sb 0.000 0.000 0.382
Sb 0.500 0.500 0.800
Pt 0.500 0.500 0.182

Calculated values
Calculated total energy in eV per atom: -4.69
V in Å³ per cell: 84.5

---

A relaxed structure of Li2MgIrN, computed with PBE.

a = 4.269 Å, b = 4.269 Å, c = 3.789 Å
α = 90.00°, β = 90.00°, γ = 90.00°
Space group P4/mmm (No. 123)
Symmetry-distinct sites (fractional):
Li 0.000 0.500 0.000
Mg 0.000 0.000 0.500
Ir 0.500 0.500 0.500
N 0.500 0.500 0.000

Calculated values
Calculated total energy in eV per atom: -4.79
V in Å³ per cell: 69.0

---

A relaxed structure of NaSb2C, computed with PBE.

a = 7.031 Å, b = 7.031 Å, c = 7.538 Å
α = 90.00°, β = 90.00°, γ = 90.00°
Space group I-42d (No. 122)
Symmetry-distinct sites (fractional):
Na 0.000 0.000 0.000
Sb 0.153 0.250 0.625
C 0.000 0.000 0.500

Calculated values
Calculated total energy in eV per atom: -4.07
V in Å³ per cell: 372.6

---

A relaxed structure of Na4B3Cl, computed with PBE.

a = 5.536 Å, b = 5.536 Å, c = 11.006 Å
α = 90.00°, β = 90.00°, γ = 90.00°
Space group I4/mmm (No. 139)
Symmetry-distinct sites (fractional):
Na 0.000 0.000 0.245
Na 0.000 0.500 0.000
B 0.000 0.000 0.500
B 0.000 0.500 0.250
Cl 0.000 0.000 0.000

Calculated values
Calculated total energy in eV per atom: -2.31
V in Å³ per cell: 337.3

---

A relaxed structure of KSiTe2, computed with PBE.

a = 4.523 Å, b = 4.523 Å, c = 11.155 Å
α = 90.00°, β = 90.00°, γ = 90.00°
Space group I-4m2 (No. 119)
Symmetry-distinct sites (fractional):
K 0.000 0.000 0.000
Si 0.000 0.500 0.750
Te 0.000 0.000 0.500
Te 0.000 0.500 0.250

Calculated values
Calculated total energy in eV per atom: -3.07
V in Å³ per cell: 228.1

---

Number 1: Fermi-level density of states 21.994 states/eV/cell. Number 2: Fermi-level density of states 3.723 states/eV/cell. Number 3: Fermi-level density of states 0.221 states/eV/cell. Number 4: Fermi-level density of states 1.841 states/eV/cell. Number 5: Fermi-level density of states 2.689 states/eV/cell. Number 6: Fermi-level density of states 10.850 states/eV/cell. Number 7: Fermi-level density of states 10.109 states/eV/cell. Number 8: Fermi-level density of states 4.501 states/eV/cell.